No. 1
# Ce2H6PdRu

A relaxed Ce2H6PdRu crystal (GGA-PBE, the Alexandria database).

The structure in POSCAR format:
```
Ce2H6PdRu
1.0
2.526 1.459 10.082
-2.526 1.459 10.082
0.000 -2.917 10.082
Ce H Pd Ru
4 12 2 2
Direct
0.124 0.124 0.124
0.296 0.296 0.296
0.704 0.704 0.704
0.876 0.876 0.876
0.126 0.641 0.641
0.199 0.199 0.713
0.199 0.713 0.199
0.287 0.801 0.801
0.359 0.359 0.874
0.359 0.874 0.359
0.641 0.126 0.641
0.641 0.641 0.126
0.713 0.199 0.199
0.801 0.287 0.801
0.801 0.801 0.287
0.874 0.359 0.359
0.408 0.408 0.408
0.592 0.592 0.592
0.000 0.000 0.000
0.500 0.500 0.500
```

Properties
Calculated total energy in eV for the cell shown: -101.1
Space group: R-3m, No. 166

---

No. 2
# CeSbHPd

A relaxed CeSbHPd crystal (GGA-PBE, the Alexandria database).

The structure in POSCAR format:
```
CeSbHPd
1.0
4.542 0.000 0.000
-2.271 3.933 0.000
0.000 0.000 4.148
Ce Sb H Pd
1 1 1 1
Direct
0.000 0.000 0.000
0.333 0.667 0.470
0.667 0.333 0.996
0.667 0.333 0.569
```

Properties
Calculated total energy in eV for the cell shown: -21.8
Space group: P3m1, No. 156

---

No. 3
# CeSiHPd2

A relaxed CeSiHPd2 crystal (GGA-PBE, the Alexandria database).

The structure in POSCAR format:
```
CeSiHPd2
1.0
1.994 -5.455 0.000
1.994 5.455 0.000
0.000 0.000 7.179
Ce Si H Pd
2 2 2 4
Direct
0.059 0.941 0.750
0.941 0.059 0.250
0.223 0.777 0.250
0.777 0.223 0.750
0.500 0.500 0.000
0.500 0.500 0.500
0.336 0.664 0.555
0.336 0.664 0.945
0.664 0.336 0.055
0.664 0.336 0.445
```

Properties
Calculated total energy in eV for the cell shown: -57.7
Space group: Cmcm, No. 63

---

No. 4
# CeSnHPd

A relaxed CeSnHPd crystal (GGA-PBE, the Alexandria database).

The structure in POSCAR format:
```
CeSnHPd
1.0
4.688 0.000 0.000
-2.344 4.060 0.000
0.000 0.000 3.784
Ce Sn H Pd
1 1 1 1
Direct
0.000 0.000 0.000
0.333 0.667 0.500
0.667 0.333 0.000
0.667 0.333 0.500
```

Properties
Calculated total energy in eV for the cell shown: -21.2
Space group: P-6m2, No. 187

---

No. 5
# CeSnHPd2

A relaxed CeSnHPd2 crystal (GGA-PBE, the Alexandria database).

The structure in POSCAR format:
```
CeSnHPd2
1.0
2.176 -5.707 0.000
2.176 5.707 0.000
0.000 0.000 7.294
Ce Sn H Pd
2 2 2 4
Direct
0.074 0.926 0.750
0.926 0.074 0.250
0.208 0.792 0.250
0.792 0.208 0.750
0.500 0.500 0.000
0.500 0.500 0.500
0.350 0.650 0.547
0.350 0.650 0.953
0.650 0.350 0.047
0.650 0.350 0.453
```

Properties
Calculated total energy in eV for the cell shown: -53.6
Space group: Cmcm, No. 63

---

No. 6
# SrCeH8Pd2

A relaxed SrCeH8Pd2 crystal (GGA-PBE, the Alexandria database).

The structure in POSCAR format:
```
SrCeH8Pd2
1.0
2.386 1.378 6.625
-2.386 1.378 6.625
0.000 -2.755 6.625
Sr Ce H Pd
1 1 8 2
Direct
0.000 0.000 0.000
0.500 0.500 0.500
0.114 0.540 0.540
0.146 0.146 0.146
0.460 0.460 0.886
0.460 0.886 0.460
0.540 0.114 0.540
0.540 0.540 0.114
0.854 0.854 0.854
0.886 0.460 0.460
0.233 0.233 0.233
0.767 0.767 0.767
```

Properties
Calculated total energy in eV for the cell shown: -47.7
Space group: R-3m, No. 166

---

Number 1: V 11.14 A^3/atom. Number 2: V 18.52 A^3/atom. Number 3: V 15.62 A^3/atom. Number 4: V 18.01 A^3/atom. Number 5: V 18.12 A^3/atom. Number 6: V 10.89 A^3/atom.